# Dy4Ir2Pt

Dy4Ir2Pt after structural relaxation (PBE, Alexandria).

Results
- Size of the total moment: 0.0 μB per formula unit
- Energy relative to the elements: -0.92 eV per atom

a b c (Å): 8.394 8.394 8.394
angles (deg): 33.50 33.50 33.50
Sites, in units of the cell vectors:
Dy (0.123, 0.123, 0.123)
Dy (0.373, 0.373, 0.373)
Dy (0.627, 0.627, 0.627)
Dy (0.877, 0.877, 0.877)
Ir (0.250, 0.250, 0.250)
Ir (0.750, 0.750, 0.750)
Pt (0.500, 0.500, 0.500)

# Ba2ErPaO6

Ba2ErPaO6 after structural relaxation (PBE, Alexandria).

Results
- Size of the total moment: 0.0 μB per formula unit
- ΔE_f (raw): -3.348 eV per atom

a b c (Å): 6.241 6.241 6.241
angles (deg): 60.00 60.00 60.00
Sites, in units of the cell vectors:
Ba (0.250, 0.250, 0.250)
Ba (0.750, 0.750, 0.750)
Er (0.000, 0.000, 0.000)
Pa (0.500, 0.500, 0.500)
O (0.253, 0.253, 0.747)
O (0.253, 0.747, 0.253)
O (0.253, 0.747, 0.747)
O (0.747, 0.253, 0.253)
O (0.747, 0.253, 0.747)
O (0.747, 0.747, 0.253)

# RbAl2Bi2O7

RbAl2Bi2O7 after structural relaxation (PBE, Alexandria).

Results
- Size of the total moment: 1.1 μB per formula unit
- ΔE_f (raw): -1.837 eV per atom

a b c (Å): 9.127 9.127 9.127
angles (deg): 36.84 36.84 36.84
Sites, in units of the cell vectors:
Rb (0.000, 0.000, 0.000)
Al (0.431, 0.431, 0.431)
Al (0.569, 0.569, 0.569)
Bi (0.218, 0.218, 0.218)
Bi (0.782, 0.782, 0.782)
O (0.090, 0.474, 0.661)
O (0.339, 0.526, 0.910)
O (0.474, 0.661, 0.090)
O (0.500, 0.500, 0.500)
O (0.526, 0.910, 0.339)
O (0.661, 0.090, 0.474)
O (0.910, 0.339, 0.526)

| no. | V (Å³ per cell) |
| --- | --- |
| 1 | 160.47 |
| 2 | 171.89 |
| 3 | 244.82 |